Here is a geometry-optimized Ac8Co4Ir structure from the Alexandria database. Energies are from GGA-PBE.

Computed properties:
formation energy	-0.007	eV/atom
E	-5.404	eV/atom
crystal system	monoclinic
size of the total moment	0.0	μB per formula unit

Lattice parameters (Å, degrees): 20.3714 4.2753 13.9175 90.00 131.37 90.00
Closest atoms and distances in Å follow each position.
Space group Cm (No. 8)
Unique sites:
Ac1 0.0000 0.0000 0.0000 [2 per cell]  1 Ir 2.88, 3 Co 2.95-2.99
Ac2 0.0218 0.0000 0.7384 [2 per cell]  3 Co 2.85-2.96
Ac3 0.0707 0.0000 0.4774 [2 per cell]  3 Co 2.87-2.94
Ac4 0.1583 0.5000 0.3347 [2 per cell]  2 Ir 2.96, 3 Co 3.05-3.06
Ac5 0.1963 0.5000 0.0772 [2 per cell]  2 Ir 3.00, 3 Co 3.08-3.09
Ac6 0.2251 0.5000 0.8157 [2 per cell]  3 Co 2.82-2.83
Ac7 0.3215 0.0000 0.6767 [2 per cell]  3 Co 2.69-2.84
Ac8 0.4003 0.0000 0.1399 [2 per cell]  3 Co 2.82-2.85
Co1 0.0181 0.0000 0.2284 [2 per cell]  6 Ac 2.82-3.05
Co2 0.2025 0.5000 0.5920 [2 per cell]  6 Ac 2.83-3.06
Co3 0.2154 0.0000 0.9380 [2 per cell]  6 Ac 2.82-3.08
Co4 0.4971 0.0000 0.8467 [2 per cell]  5 Ac 2.69-2.99
Ir1 0.1855 0.0000 0.2171 [2 per cell]  5 Ac 2.88-3.00